[1]
Density functional theory data (PBE-GGA) for a relaxed SnMoAsSe2 crystal.

Values from the calculation:
Formation energy without anion corrections   219 meV per atom
Relative energy among the computed polymorphs   0 meV per atom
Space group   P4/mmm, No. 123

Unit cell a=5.038 b=5.038 c=4.846 alpha=90.00 beta=90.00 gamma=90.00
Atoms (fractional coordinates):
Sn (0.500, 0.500, 0.500)
Se (0.000, 0.500, 0.000)
Se (0.500, 0.000, 0.000)
As (0.000, 0.000, 0.500)
Mo (0.000, 0.000, 0.000)



[2]
Density functional theory data (PBE-GGA) for a relaxed Cs2Na2Tl3 crystal.

Values from the calculation:
DFT formation energy   -0.06 eV per atom
Space group   C2/m, No. 12

Unit cell a=5.879 b=8.170 c=7.637 alpha=64.49 beta=67.36 gamma=68.91
Atoms (fractional coordinates):
Cs (0.664, 0.212, 0.461)
Cs (0.336, 0.788, 0.539)
Na (0.639, 0.722, 0.000)
Na (0.361, 0.278, 0.000)
Tl (0.081, 0.589, 0.250)
Tl (0.000, 0.000, 0.000)
Tl (0.919, 0.411, 0.750)



[3]
Density functional theory data (PBE-GGA) for a relaxed TaOsSe2 crystal.

Values from the calculation:
Formation energy without anion corrections   244 meV per atom
Relative energy among the computed polymorphs   402 meV per atom
Space group   P4/mmm, No. 123

Unit cell a=3.198 b=4.464 c=4.464 alpha=90.00 beta=90.00 gamma=90.00
Atoms (fractional coordinates):
Ta (0.500, 0.500, 0.000)
Os (0.500, 0.000, 0.500)
Se (0.000, 0.500, 0.500)
Se (0.000, 0.000, 0.000)



[4]
Density functional theory data (PBE-GGA) for a relaxed AcZrAs2 crystal.

Values from the calculation:
DFT formation energy   -1.16 eV per atom
Relative energy among the computed polymorphs   84 meV per atom
Space group   R3m, No. 160

Unit cell a=4.059 b=4.059 c=7.677 alpha=74.67 beta=74.67 gamma=60.00
Atoms (fractional coordinates):
As (0.070, 0.070, 0.790)
As (0.264, 0.264, 0.209)
Ac (0.497, 0.497, 0.510)
Zr (0.669, 0.669, 0.992)



[5]
Density functional theory data (PBE-GGA) for a relaxed CsNa2Zn crystal.

Values from the calculation:
DFT formation energy   0.20 eV per atom
Space group   I-42d, No. 122

Unit cell a=6.276 b=6.276 c=11.716 alpha=74.46 beta=74.46 gamma=90.00
Atoms (fractional coordinates):
Na (0.373, 0.625, 0.250)
Na (0.875, 0.627, 0.750)
Na (0.375, 0.623, 0.750)
Na (0.377, 0.125, 0.250)
Cs (0.000, 0.000, 0.000)
Cs (0.750, 0.250, 0.500)
Zn (0.500, 0.500, 0.000)
Zn (0.250, 0.750, 0.500)



[6]
Density functional theory data (PBE-GGA) for a relaxed B2TeP crystal.

Values from the calculation:
Formation energy without anion corrections   276 meV per atom
Relative energy among the computed polymorphs   36 meV per atom
Space group   P1, No. 1

Unit cell a=3.360 b=4.490 c=5.456 alpha=72.06 beta=90.43 gamma=67.97
Atoms (fractional coordinates):
B (0.053, 0.520, 0.459)
B (0.226, 0.171, 0.371)
Te (0.527, 0.578, 0.724)
P (0.802, 0.017, 0.254)



[7]
Density functional theory data (PBE-GGA) for a relaxed GdTmS2 crystal.

Values from the calculation:
Formation energy without anion corrections   -2007 meV per atom
Space group   R-3m, No. 166

Unit cell a=3.899 b=3.899 c=6.765 alpha=73.25 beta=73.25 gamma=60.00
Atoms (fractional coordinates):
Tm (0.000, 0.000, 0.000)
Gd (0.500, 0.500, 0.500)
S (0.253, 0.253, 0.240)
S (0.747, 0.747, 0.760)



[8]
Density functional theory data (PBE-GGA) for a relaxed PmYCu crystal.

Values from the calculation:
DFT formation energy   0.07 eV per atom
Relative energy among the computed polymorphs   178 meV per atom
Space group   P3m1, No. 156

Unit cell a=3.866 b=4.820 c=4.820 alpha=120.00 beta=90.00 gamma=90.00
Atoms (fractional coordinates):
Pm (0.054, 0.000, 0.000)
Y (0.587, 0.667, 0.333)
Cu (0.359, 0.333, 0.667)



[9]
Density functional theory data (PBE-GGA) for a relaxed MgTlRe2 crystal.

Values from the calculation:
DFT formation energy   0.73 eV per atom
Relative energy among the computed polymorphs   439 meV per atom
Space group   Pmmm, No. 47

Unit cell a=3.239 b=4.501 c=4.696 alpha=90.00 beta=90.00 gamma=90.00
Atoms (fractional coordinates):
Re (0.500, 0.500, 0.000)
Re (0.000, 0.000, 0.000)
Mg (0.000, 0.500, 0.500)
Tl (0.500, 0.000, 0.500)



[10]
Density functional theory data (PBE-GGA) for a relaxed TlNiBi2P crystal.

Values from the calculation:
DFT formation energy   0.92 eV per atom
Space group   P4/mmm, No. 123

Unit cell a=5.493 b=5.009 c=5.493 alpha=90.00 beta=90.00 gamma=90.00
Atoms (fractional coordinates):
Ni (0.500, 0.500, 0.500)
P (0.000, 0.000, 0.000)
Bi (0.000, 0.000, 0.500)
Bi (0.500, 0.000, 0.000)
Tl (0.000, 0.500, 0.000)



[11]
Density functional theory data (PBE-GGA) for a relaxed PmTmN crystal.

Values from the calculation:
Formation energy without anion corrections   -282 meV per atom
Relative energy among the computed polymorphs   709 meV per atom
Space group   F-43m, No. 216

Unit cell a=4.283 b=4.283 c=4.283 alpha=60.00 beta=60.00 gamma=60.00
Atoms (fractional coordinates):
Tm (0.000, 0.000, 0.000)
N (0.250, 0.250, 0.250)
Pm (0.500, 0.500, 0.500)



[12]
Density functional theory data (PBE-GGA) for a relaxed FeNi2Br2 crystal.

Values from the calculation:
Formation energy without anion corrections   678 meV per atom
Relative energy among the computed polymorphs   81 meV per atom
Space group   P4/mbm, No. 127

Unit cell a=6.926 b=6.926 c=3.376 alpha=90.00 beta=90.00 gamma=90.00
Atoms (fractional coordinates):
Br (0.674, 0.174, 0.000)
Br (0.826, 0.674, 0.000)
Br (0.174, 0.326, 0.000)
Br (0.326, 0.826, 0.000)
Ni (0.362, 0.138, 0.500)
Ni (0.862, 0.362, 0.500)
Ni (0.138, 0.638, 0.500)
Ni (0.638, 0.862, 0.500)
Fe (0.000, 0.000, 0.000)
Fe (0.500, 0.500, 0.000)



[13]
Density functional theory data (PBE-GGA) for a relaxed PmNdIr crystal.

Values from the calculation:
DFT formation energy   -0.54 eV per atom
Relative energy among the computed polymorphs   0 meV per atom
Space group   F-43m, No. 216

Unit cell a=4.941 b=4.941 c=4.941 alpha=60.00 beta=60.00 gamma=60.00
Atoms (fractional coordinates):
Nd (0.500, 0.500, 0.500)
Ir (0.250, 0.250, 0.250)
Pm (0.000, 0.000, 0.000)



| no. | mass density (Mg/m³) | DFT total energy (Ry per atom) |
| --- | --- | --- |
| 1 | 6.04 | -0.3728 |
| 2 | 5.17 | -0.1246 |
| 3 | 13.79 | -0.5343 |
| 4 | 7.45 | -0.4883 |
| 5 | 1.90 | -0.0729 |
| 6 | 4.16 | -0.3822 |
| 7 | 7.72 | -0.6401 |
| 8 | 6.35 | -0.3701 |
| 9 | 14.58 | -0.4768 |
| 10 | 7.82 | -0.2461 |
| 11 | 9.80 | -0.4506 |
| 12 | 6.83 | -0.2937 |
| 13 | 9.37 | -0.4901 |